[1]
Here is YBeCr after structural relaxation from the Alexandria database. Energies are from PBEsol.

Geometry as POSCAR:
```
YBeCr
1.0
-0.553 3.572 1.260
-3.499 -1.092 1.560
3.322 -0.256 2.184
Cr Y Be
1 1 1
direct
0.000 0.333 0.667
0.500 0.667 0.333
0.000 0.000 0.000
```

Final energy   -6.617 eV per atom


[2]
Here is Ta2CuBr after structural relaxation from the Alexandria database. Energies are from PBEsol.

Geometry as POSCAR:
```
Ta2CuBr
1.0
-0.930 2.805 0.388
-1.045 1.557 -2.316
-8.637 -1.422 1.026
Ta Br Cu
2 1 1
direct
0.252 0.252 0.244
0.748 0.748 0.756
0.500 0.500 0.500
0.000 0.000 0.000
```

Final energy   -7.420 eV per atom
Energy relative to the elements, uncorrected   0.41 eV per atom
E above lowest polymorph   0 meV/atom


[3]
Here is Hg3SbF after structural relaxation from the Alexandria database. Energies are from PBEsol.

Geometry as POSCAR:
```
Hg3SbF
1.0
4.860 0.000 0.000
0.000 4.860 0.000
0.000 0.000 4.860
Hg F Sb
3 1 1
direct
0.000 0.500 0.000
0.000 0.000 0.500
0.500 0.000 0.000
0.000 0.000 0.000
0.500 0.500 0.500
```

Final energy   -1.700 eV per atom
Energy relative to the elements, uncorrected   -0.06 eV per atom


[4]
Here is Al2PtF after structural relaxation from the Alexandria database. Energies are from PBEsol.

Geometry as POSCAR:
```
Al2PtF
1.0
5.252 0.000 0.000
0.000 5.252 0.000
-2.626 -2.626 5.071
F Al Pt
2 4 2
direct
0.500 0.500 0.000
0.750 0.250 0.500
0.841 0.375 0.250
0.625 0.591 0.750
0.125 0.159 0.750
0.409 0.875 0.250
0.250 0.750 0.500
0.000 0.000 0.000
```

Final energy   -5.165 eV per atom
Energy relative to the elements, uncorrected   -0.90 eV per atom


[5]
Here is MnIn2Hg after structural relaxation from the Alexandria database. Energies are from PBEsol.

Geometry as POSCAR:
```
MnIn2Hg
1.0
-2.632 -1.349 -0.958
0.098 -1.925 2.439
-4.567 5.626 4.623
In Hg Mn
2 1 1
direct
0.000 0.000 0.991
0.500 0.500 0.296
0.500 0.500 0.710
0.000 0.000 0.503
```

Final energy   -3.868 eV per atom


[6]
Here is SrPt5 after structural relaxation from the Alexandria database. Energies are from PBEsol.

Geometry as POSCAR:
```
SrPt5
1.0
4.335 0.000 0.000
0.000 5.402 0.000
0.000 -2.701 4.678
Pt Sr
5 1
direct
0.000 0.333 0.667
0.500 0.000 0.500
0.500 0.500 0.500
0.000 0.667 0.333
0.500 0.500 0.000
0.000 0.000 0.000
```

Final energy   -6.611 eV per atom


- Look up the final energy of the first one.
  -6.617 eV per atom